YCo2Cl | SCAN | single point on PBEsol structure

Cell: 3.5867 5.0775 7.2840 Å, 90.00 90.00 90.00°
Space group Imm2 (No. 44)
Asymmetric unit:
Y (0.0000, 0.0000, 0.0000)
Co (0.0000, 0.0000, 0.4790)
Co (0.0000, 0.5000, 0.8105)
Cl (0.0000, 0.5000, 0.1922)

- formation energy without anion corrections (kJ/mol of atoms) = 1


Hf2Ge2W | SCAN | single point on PBEsol structure

Cell: 6.7301 6.7301 3.7378 Å, 90.00 90.00 90.00°
Space group P4/mbm (No. 127)
Asymmetric unit:
Hf (0.1726, 0.3274, 0.0000)
Ge (0.1322, 0.6322, 0.5000)
W (0.0000, 0.0000, 0.5000)

- energy relative to the elements (eV/atom) = -0.5913


Ba2Cu2O5 | SCAN | single point on PBEsol structure

Cell: 10.6419 4.1054 13.8645 Å, 90.00 90.00 90.00°
Space group Pna2_1 (No. 33)
Asymmetric unit:
Ba (0.0435, 0.1827, 0.0000)
Ba (0.2085, 0.1725, 0.3223)
Cu (0.0123, 0.3370, 0.7078)
Cu (0.2351, 0.1607, 0.6183)
O (0.0450, 0.6711, 0.3313)
O (0.0816, 0.3255, 0.5856)
O (0.1254, 0.4471, 0.1620)
O (0.1647, 0.1642, 0.7406)
O (0.2072, 0.6791, 0.9954)

- formation energy without anion corrections (kJ/mol of atoms) = -168


TlIn2Sb | SCAN | single point on PBEsol structure

Cell: 4.7561 4.7561 9.4875 Å, 90.00 90.00 90.00°
Space group I4/mmm (No. 139)
Asymmetric unit:
Tl (0.0000, 0.0000, 0.0000)
In (0.0000, 0.5000, 0.2500)
Sb (0.0000, 0.0000, 0.5000)

- formation energy without anion corrections (kJ/mol of atoms) = 7